1.
{
  "formula": "LaDy3Sc6",
  "functional": "PBE-GGA",
  "state": "relaxed",
  "polymorph_energy_mev_per_atom": 0,
  "lattice": [[5.226, -8.967, 0.000], [5.226, 8.967, 0.000], [0.000, 0.000, 5.903]],
  "species": ["La", "La", "Dy", "Dy", "Dy", "Dy", "Dy", "Dy", "Sc", "Sc", "Sc", "Sc", "Sc", "Sc", "Sc", "Sc", "Sc", "Sc", "Sc", "Sc"],
  "fractional_positions": [[0.216, 0.784, 0.500], [0.784, 0.216, 0.000], [0.077, 0.285, 0.272], [0.285, 0.077, 0.772], [0.403, 0.597, 0.374], [0.597, 0.403, 0.874], [0.715, 0.923, 0.272], [0.923, 0.715, 0.772], [0.007, 0.443, 0.662], [0.050, 0.950, 0.229], [0.267, 0.377, 0.806], [0.306, 0.694, 0.929], [0.377, 0.267, 0.306], [0.443, 0.007, 0.162], [0.557, 0.993, 0.662], [0.623, 0.733, 0.806], [0.694, 0.306, 0.429], [0.733, 0.623, 0.306], [0.950, 0.050, 0.729], [0.993, 0.557, 0.162]]
}

=====

2.
{
  "formula": "BeCr2Tc",
  "functional": "PBE-GGA",
  "state": "relaxed",
  "e_tot_ev_per_atom": -8.173,
  "lattice": [[1.493, -2.031, 0.000], [1.493, 2.031, 0.000], [0.000, 0.000, 7.801]],
  "species": ["Be", "Cr", "Cr", "Tc"],
  "fractional_positions": [[0.000, 0.000, 0.000], [0.500, 0.500, 0.230], [0.500, 0.500, 0.770], [0.000, 0.000, 0.500]]
}